Density functional theory data (GGA-PBE) for a relaxed SrSc2Os crystal.

abc: 4.3597 4.3597 7.2316
angles: 72.45 72.45 59.98
Last column: magnetic moment on the atom in μB.
Fractional coordinates of all 4 atoms:
Os: 0.3310 0.3310 0.0064  -0.01
Sc: 0.9544 0.9544 0.1363  0.07
Sc: 0.7115 0.7115 0.8653  0.06
Sr: 0.5031 0.5031 0.4921  0.07

Properties
ΔH_f (0 K)	0.0164	eV per atom
calculated total energy	-25.5	eV per cell
relative energy among the computed polymorphs	0.1577	eV/atom



Density functional theory data (GGA-PBE) for a relaxed CsCuSb2Br8 crystal.

abc: 7.2766 9.4838 8.9216
angles: 102.29 91.30 64.58
Last column: magnetic moment on the atom in μB.
Fractional coordinates of all 12 atoms:
Cs: 0.0000 0.0000 0.5000  0.00
Cu: 0.0000 0.0000 0.0000  0.11
Sb: 0.4989 0.5111 0.7583  0.00
Sb: 0.5011 0.4889 0.2417  0.00
Br: 0.1049 0.6153 0.2603  0.00
Br: 0.5306 0.6907 0.0880  0.00
Br: 0.9700 0.2084 0.1907  0.01
Br: 0.8951 0.3847 0.7397  0.00
Br: 0.4694 0.3093 0.9120  0.00
Br: 0.0300 0.7916 0.8093  0.01
Br: 0.5396 0.6856 0.4951  0.00
Br: 0.4604 0.3144 0.5049  0.00

Properties
raw formation energy	-0.73	eV/atom
calculated total energy	-35.3	eV per cell



Density functional theory data (GGA-PBE) for a relaxed YZrPa2N6 crystal.

abc: 5.8647 5.8646 6.0227
angles: 60.86 60.86 60.00
Fractional coordinates of all 10 atoms:
Y: 0.7987 0.7987 0.6040
Zr: 0.3064 0.3064 0.0809
Pa: 0.5243 0.5243 0.4270
Pa: 0.0217 0.0217 0.9350
N: 0.6179 0.2157 0.2396
N: 0.2156 0.9269 0.2396
N: 0.9269 0.6179 0.2396
N: 0.3973 0.7066 0.7498
N: 0.7066 0.1462 0.7499
N: 0.1462 0.3973 0.7499

Properties
raw formation energy	-1.42	eV/atom
calculated total energy	-98.2	eV per cell



Density functional theory data (GGA-PBE) for a relaxed ZrIn2Se crystal.

abc: 5.6624 5.6624 5.6624
angles: 134.45 134.45 66.38
Fractional coordinates of all 4 atoms:
In: 0.0000 0.0000 0.0000
In: 0.2500 0.7500 0.5000
Se: 0.5000 0.5000 0.0000
Zr: 0.7500 0.2500 0.5000

Properties
raw formation energy	-0.19	eV/atom
calculated total energy	-18.3	eV per cell



Density functional theory data (GGA-PBE) for a relaxed LiBe2SeO6 crystal.

abc: 5.5131 6.8564 6.8564
angles: 91.46 70.14 70.14
Last column: magnetic moment on the atom in μB.
Fractional coordinates of all 20 atoms:
Li: 0.2500 0.8722 0.1278  0.00
Li: 0.7500 0.1278 0.8722  0.00
Be: 0.4120 0.7215 0.5932  -0.01
Be: 0.0880 0.4068 0.2785  -0.01
Be: 0.5880 0.2785 0.4068  -0.01
Be: 0.9120 0.5932 0.7215  -0.01
Se: 0.2500 0.1861 0.8139  0.01
Se: 0.7500 0.8139 0.1861  0.01
O: 0.1980 0.9589 0.7904  0.01
O: 0.3020 0.2096 0.0411  0.01
O: 0.8020 0.0411 0.2096  0.01
O: 0.6980 0.7904 0.9589  0.01
O: 0.4422 0.8259 0.3601  0.00
O: 0.0578 0.6399 0.1741  0.00
O: 0.5578 0.1741 0.6399  0.00
O: 0.9422 0.3601 0.8259  0.00
O: 0.1954 0.6165 0.6409  0.40
O: 0.3046 0.3591 0.3835  0.40
O: 0.8046 0.3835 0.3591  0.40
O: 0.6954 0.6409 0.6165  0.40

Properties
raw formation energy	-1.46	eV/atom
calculated total energy	-114.4	eV per cell



Density functional theory data (GGA-PBE) for a relaxed NaGaHgI4 crystal.

abc: 8.4584 8.4584 11.3545
angles: 69.62 69.62 59.47
Fractional coordinates of all 14 atoms:
Na: 0.3299 0.3299 0.9075
Na: 0.6701 0.6701 0.0925
Ga: 0.6825 0.6825 0.7235
Ga: 0.3175 0.3175 0.2765
Hg: 0.0612 0.0612 0.1901
Hg: 0.9388 0.9388 0.8099
I: 0.1556 0.1556 0.4738
I: 0.8444 0.8444 0.5262
I: 0.0912 0.5825 0.1225
I: 0.4701 0.4701 0.3370
I: 0.4175 0.9088 0.8775
I: 0.5825 0.0912 0.1225
I: 0.5299 0.5299 0.6630
I: 0.9088 0.4175 0.8775

Properties
raw formation energy	-0.62	eV/atom
calculated total energy	-30.3	eV per cell